{
  "formula": "Ca2InCl",
  "functional": "GGA-PBE",
  "state": "optimized geometry",
  "lattice": [[-0.3822, 5.4584, -5.6660], [-3.0446, -5.3333, -4.9326], [-5.5458, 1.0931, -4.0480]],
  "species": ["Ca", "Ca", "Ca", "Ca", "Cl", "Cl", "In", "In"],
  "frac_coords": [[0.1644, 0.6250, 0.2500], [0.3750, 0.4144, 0.7500], [0.8750, 0.8356, 0.7500], [0.5856, 0.1250, 0.2500], [0.5000, 0.5000, 0.0000], [0.2500, 0.7500, 0.5000], [0.7500, 0.2500, 0.5000], [0.0000, 0.0000, 0.0000]],
  "sg": "I-42d, No. 122",
  "crystal_system": "tetragonal",
  "energy_ev_per_atom": -2.977,
  "raw_formation_energy_ev_per_atom": -0.83
}

=====

{
  "formula": "LaSm6Tl3",
  "functional": "GGA-PBE",
  "state": "optimized geometry",
  "lattice": [[-3.7864, 2.3190, -6.5669], [5.3947, -5.7878, -5.1545], [-7.7969, -4.4535, 2.9230]],
  "species": ["Sm", "Sm", "Sm", "Sm", "Sm", "Sm", "Sm", "Sm", "Sm", "Sm", "Sm", "Sm", "Tl", "Tl", "Tl", "Tl", "Tl", "Tl", "La", "La"],
  "frac_coords": [[0.7935, 0.4528, 0.0748], [0.2935, 0.0748, 0.4528], [0.2935, 0.5472, 0.9252], [0.6202, 0.2961, 0.7039], [0.7935, 0.9252, 0.5472], [0.6080, 0.2378, 0.3069], [0.7968, 0.0485, 0.9515], [0.1202, 0.7039, 0.2961], [0.1080, 0.7622, 0.6931], [0.1080, 0.3069, 0.2378], [0.2968, 0.9515, 0.0485], [0.6080, 0.6931, 0.7622], [0.9326, 0.7187, 0.9797], [0.8155, 0.5560, 0.4440], [0.9326, 0.0203, 0.2813], [0.4326, 0.9797, 0.7187], [0.4326, 0.2813, 0.0203], [0.3155, 0.4440, 0.5560], [0.5845, 0.7820, 0.2180], [0.0845, 0.2180, 0.7820]],
  "sg": "Cmc2_1, No. 36",
  "crystal_system": "orthorhombic",
  "energy_ev_per_atom": -4.145,
  "formation_enthalpy_0k_ev_per_atom": -0.110
}

=====

{
  "formula": "CrAs4W",
  "functional": "GGA-PBE",
  "state": "optimized geometry",
  "lattice": [[3.9531, -1.9643, 3.0537], [-0.4759, 0.0203, 5.3464], [-0.6964, -4.6156, 2.6499]],
  "species": ["Cr", "W", "As", "As", "As", "As"],
  "frac_coords": [[0.2500, 0.2500, 0.2500], [0.0000, 0.0000, 0.0000], [0.1234, 0.6255, 0.6255], [0.6255, 0.6255, 0.1234], [0.6255, 0.1234, 0.6255], [0.6255, 0.6255, 0.6255]],
  "sg": "F-43m, No. 216",
  "crystal_system": "cubic",
  "energy_ev_per_atom": -5.848,
  "formation_enthalpy_0k_ev_per_atom": 1.015
}

=====

{
  "formula": "SrFe2Au",
  "functional": "GGA-PBE",
  "state": "optimized geometry",
  "lattice": [[5.6407, -0.0124, -0.0017], [2.4792, 5.0667, 0.0017], [-3.3775, -3.6235, 2.6982]],
  "species": ["Au", "Sr", "Fe", "Fe"],
  "frac_coords": [[0.2166, 0.7166, 0.5000], [0.5068, 0.5068, 0.0000], [0.9786, 0.9786, 0.0000], [0.7980, 0.2980, 0.5000]],
  "sg": "Imm2, No. 44",
  "crystal_system": "orthorhombic",
  "energy_ev_per_atom": -5.085,
  "formation_enthalpy_0k_ev_per_atom": 0.386
}

=====

{
  "formula": "TaTi2S",
  "functional": "GGA-PBE",
  "state": "optimized geometry",
  "lattice": [[-1.0990, -2.7325, 1.0369], [1.6425, -2.6166, -0.4532], [3.8946, -0.6507, 7.1145]],
  "species": ["S", "Ti", "Ti", "Ta"],
  "frac_coords": [[0.6677, 0.6677, 0.9968], [0.2627, 0.2627, 0.2119], [0.0705, 0.0705, 0.7885], [0.4991, 0.4991, 0.5027]],
  "sg": "R3m, No. 160",
  "crystal_system": "trigonal",
  "energy_ev_per_atom": -8.436,
  "raw_formation_energy_ev_per_atom": -0.49
}

=====

{
  "formula": "ScTi2Ge",
  "functional": "GGA-PBE",
  "state": "optimized geometry",
  "lattice": [[-0.1224, -1.9404, 7.2847], [5.6708, -4.8242, -1.1897], [4.5563, -1.4235, 3.5992]],
  "species": ["Ti", "Ti", "Ti", "Ti", "Sc", "Sc", "Ge", "Ge"],
  "frac_coords": [[0.6598, 0.1250, 0.2500], [0.3750, 0.3402, 0.7500], [0.8750, 0.9098, 0.7500], [0.0902, 0.6250, 0.2500], [0.5000, 0.5000, 0.0000], [0.2500, 0.7500, 0.5000], [0.7500, 0.2500, 0.5000], [0.0000, 0.0000, 0.0000]],
  "sg": "I-42d, No. 122",
  "crystal_system": "tetragonal",
  "energy_ev_per_atom": -6.642,
  "formation_enthalpy_0k_ev_per_atom": 0.042
}

=====

{
  "formula": "RhPb2",
  "functional": "GGA-PBE",
  "state": "optimized geometry",
  "lattice": [[-4.8392, 3.4583, 5.0233], [-2.8393, -4.6094, -5.5949], [0.2867, -3.1147, 2.4205]],
  "species": ["Rh", "Rh", "Rh", "Pb", "Pb", "Pb", "Pb", "Pb", "Pb"],
  "frac_coords": [[0.6667, 0.3333, 0.0000], [0.0000, 0.0000, 0.5000], [0.3333, 0.6667, 0.0000], [0.2622, 0.0000, 0.0000], [0.0000, 0.2622, 0.0000], [0.7378, 0.7378, 0.0000], [0.4019, 0.4019, 0.5000], [0.5981, 0.0000, 0.5000], [0.0000, 0.5981, 0.5000]],
  "sg": "P-62m, No. 189",
  "crystal_system": "hexagonal",
  "energy_ev_per_atom": -4.890,
  "formation_enthalpy_0k_ev_per_atom": 0.033
}

=====

{
  "formula": "La6NbGa11O28",
  "functional": "GGA-PBE",
  "state": "optimized geometry",
  "lattice": [[-6.7600, 3.1118, 3.6854], [-4.4157, -6.0235, 6.3429], [1.0749, 2.1797, 9.4875]],
  "species": ["Ga", "Ga", "Ga", "Ga", "Ga", "Ga", "Ga", "Ga", "Ga", "Ga", "Ga", "O", "O", "O", "O", "O", "O", "O", "O", "O", "O", "O", "O", "O", "O", "O", "O", "O", "O", "O", "O", "O", "O", "O", "O", "O", "O", "O", "O", "La", "La", "La", "La", "La", "La", "Nb"],
  "frac_coords": [[0.9946, 0.8793, 0.3656], [0.2422, 0.6371, 0.1249], [0.3331, 0.8986, 0.4301], [0.7640, 0.7556, 0.2367], [0.2395, 0.1207, 0.6344], [0.0042, 0.3629, 0.8751], [0.3338, 0.4027, 0.9346], [0.9990, 0.0000, 0.0000], [0.6618, 0.1014, 0.5699], [0.6711, 0.5973, 0.0654], [0.7563, 0.2444, 0.7633], [0.0825, 0.2724, 0.5050], [0.3286, 0.0783, 0.2584], [0.1417, 0.4252, 0.6573], [0.1408, 0.8093, 0.5038], [0.7773, 0.4537, 0.6858], [0.7824, 0.9518, 0.1965], [0.9307, 0.0482, 0.8035], [0.0682, 0.7687, 0.0158], [0.8599, 0.7276, 0.4950], [0.5454, 0.7247, 0.4116], [0.3148, 0.9167, 0.6196], [0.3382, 0.5752, 0.7556], [0.2171, 0.0867, 0.8420], [0.6690, 0.4248, 0.2444], [0.1457, 0.9133, 0.1580], [0.6817, 0.2753, 0.5884], [0.6654, 0.9217, 0.7416], [0.4609, 0.6940, 0.9923], [0.8590, 0.5735, 0.8787], [0.1472, 0.3060, 0.0077], [0.6910, 0.7787, 0.0694], [0.4539, 0.1907, 0.4962], [0.9168, 0.5463, 0.3142], [0.3113, 0.4265, 0.1213], [0.8527, 0.2313, 0.9842], [0.5390, 0.2213, 0.9306], [0.8511, 0.0833, 0.3804], [0.2241, 0.5748, 0.3427], [0.9980, 0.7909, 0.7895], [0.0023, 0.2861, 0.2864], [0.5748, 0.7139, 0.7136], [0.4318, 0.5000, 0.5000], [0.5783, 0.2091, 0.2105], [0.4168, 0.0000, 0.0000], [0.0015, 0.5000, 0.5000]],
  "sg": "C2, No. 5",
  "crystal_system": "monoclinic",
  "energy_ev_per_atom": -7.085,
  "raw_formation_energy_ev_per_atom": -2.48
}

=====

{
  "formula": "OsAu2Br",
  "functional": "GGA-PBE",
  "state": "optimized geometry",
  "lattice": [[5.3586, 0.0266, 0.0000], [2.3023, 4.8389, 0.0000], [-3.8305, -2.4327, 2.8504]],
  "species": ["Br", "Os", "Au", "Au"],
  "frac_coords": [[0.2500, 0.7500, 0.5000], [0.7500, 0.2500, 0.5000], [0.0000, 0.0000, 0.0000], [0.5000, 0.5000, 0.0000]],
  "sg": "I4/mmm, No. 139",
  "crystal_system": "tetragonal",
  "energy_ev_per_atom": -3.660,
  "raw_formation_energy_ev_per_atom": 1.20
}

=====

{
  "formula": "LiTaF3",
  "functional": "GGA-PBE",
  "state": "optimized geometry",
  "lattice": [[-1.1578, -0.6395, 4.0842], [2.9868, -3.0618, 0.3673], [2.8581, 2.9405, 1.2706]],
  "species": ["Li", "F", "F", "F", "Ta"],
  "frac_coords": [[0.5000, 0.5000, 0.5000], [0.0000, 0.5000, 0.0000], [0.0000, 0.0000, 0.5000], [0.5000, 0.0000, 0.0000], [0.0000, 0.0000, 0.0000]],
  "sg": "Pm-3m, No. 221",
  "crystal_system": "cubic",
  "energy_ev_per_atom": -5.623,
  "raw_formation_energy_ev_per_atom": -1.75
}

=====

{
  "formula": "Co2TeSe",
  "functional": "GGA-PBE",
  "state": "optimized geometry",
  "lattice": [[0.0000, 3.1456, 3.1456], [3.1456, 0.0000, 3.1456], [3.1456, 3.1456, 0.0000]],
  "species": ["Te", "Se", "Co", "Co"],
  "frac_coords": [[0.5000, 0.5000, 0.5000], [0.0000, 0.0000, 0.0000], [0.2500, 0.2500, 0.2500], [0.7500, 0.7500, 0.7500]],
  "sg": "Fm-3m, No. 225",
  "crystal_system": "cubic",
  "energy_ev_per_atom": -4.857,
  "raw_formation_energy_ev_per_atom": 0.35
}

=====

{
  "formula": "HoScIrRu",
  "functional": "GGA-PBE",
  "state": "optimized geometry",
  "lattice": [[-2.9816, 1.3206, -0.5412], [-1.0621, -2.8904, -1.2020], [-1.9088, -1.8223, 6.0687]],
  "species": ["Sc", "Ho", "Ru", "Ir"],
  "frac_coords": [[0.5000, 0.5000, 0.1016], [0.5000, 0.5000, 0.6119], [0.0000, 0.0000, 0.8710], [0.0000, 0.0000, 0.3435]],
  "sg": "P4mm, No. 99",
  "crystal_system": "tetragonal",
  "energy_ev_per_atom": -7.958,
  "formation_enthalpy_0k_ev_per_atom": -0.696
}

=====

{
  "formula": "CaSc2Os",
  "functional": "GGA-PBE",
  "state": "optimized geometry",
  "lattice": [[-1.3654, 5.3086, -8.5430], [0.0034, 2.5191, -9.8327], [-3.3034, 2.6448, -9.2261]],
  "species": ["Ca", "Os", "Sc", "Sc"],
  "frac_coords": [[0.2500, 0.2500, 0.2500], [0.7500, 0.7500, 0.7500], [0.4786, 0.4786, 0.4786], [0.0214, 0.0214, 0.0214]],
  "sg": "R-3m, No. 166",
  "crystal_system": "trigonal",
  "energy_ev_per_atom": -6.370,
  "formation_enthalpy_0k_ev_per_atom": 0.103
}

=====

{
  "formula": "CaSiP2",
  "functional": "GGA-PBE",
  "state": "optimized geometry",
  "lattice": [[4.7602, 0.0000, 0.0000], [2.3801, 4.1225, 0.0000], [2.3801, 1.3742, 3.8867]],
  "species": ["Ca", "Si", "P", "P"],
  "frac_coords": [[0.5000, 0.5000, 0.5000], [0.7500, 0.7500, 0.7500], [0.2500, 0.2500, 0.2500], [0.0000, 0.0000, 0.0000]],
  "sg": "F-43m, No. 216",
  "crystal_system": "cubic",
  "energy_ev_per_atom": -4.266,
  "raw_formation_energy_ev_per_atom": 0.29
}

=====

{
  "formula": "Ti3TeI",
  "functional": "GGA-PBE",
  "state": "optimized geometry",
  "lattice": [[-3.1413, 3.0886, -2.6749], [1.5056, -2.2616, -4.3796], [-3.7984, -3.4508, 0.4762]],
  "species": ["Te", "I", "Ti", "Ti", "Ti"],
  "frac_coords": [[0.0000, 0.0000, 0.0000], [0.5000, 0.5000, 0.5000], [0.0000, 0.5000, 0.0000], [0.0000, 0.0000, 0.5000], [0.5000, 0.0000, 0.0000]],
  "sg": "Pm-3m, No. 221",
  "crystal_system": "cubic",
  "energy_ev_per_atom": -4.936,
  "raw_formation_energy_ev_per_atom": 0.74
}

=====

{
  "formula": "BaTeN",
  "functional": "GGA-PBE",
  "state": "optimized geometry",
  "lattice": [[6.1685, 1.3793, 0.0401], [1.9823, 5.6267, 0.0072], [0.0124, -0.2630, 7.0443]],
  "species": ["Ba", "Ba", "N", "N", "Te", "Te"],
  "frac_coords": [[0.0402, 0.2622, 0.3048], [0.6803, 0.9830, 0.8078], [0.3112, 0.7205, 0.0965], [0.4093, 0.5248, 0.0161], [0.0279, 0.2875, 0.7999], [0.6926, 0.9577, 0.3128]],
  "sg": "C2/m, No. 12",
  "crystal_system": "monoclinic",
  "energy_ev_per_atom": -5.559,
  "raw_formation_energy_ev_per_atom": -1.10
}

=====

{
  "formula": "Ce8Si2Tc",
  "functional": "GGA-PBE",
  "state": "optimized geometry",
  "lattice": [[4.6887, 0.0000, 0.0000], [0.0000, 7.3840, 0.0441], [-2.3444, -3.0969, 7.6620]],
  "species": ["Ce", "Ce", "Ce", "Ce", "Ce", "Ce", "Ce", "Ce", "Si", "Si", "Tc"],
  "frac_coords": [[0.5646, 0.4277, 0.1293], [0.2112, 0.2894, 0.4225], [0.7888, 0.7106, 0.5775], [0.9859, 0.2067, 0.9718], [0.0141, 0.7933, 0.0282], [0.4354, 0.5723, 0.8707], [0.6755, 0.9249, 0.3510], [0.3245, 0.0751, 0.6490], [0.1678, 0.6519, 0.3356], [0.8322, 0.3481, 0.6644], [0.5000, 0.0000, 0.0000]],
  "sg": "C2/m, No. 12",
  "crystal_system": "monoclinic",
  "energy_ev_per_atom": -6.489,
  "raw_formation_energy_ev_per_atom": -0.25
}

=====

{
  "formula": "LiTmMg3",
  "functional": "GGA-PBE",
  "state": "optimized geometry",
  "lattice": [[3.1705, 0.0000, -0.4365], [0.0000, 5.1767, 0.0000], [0.4049, 0.0000, 14.6724]],
  "species": ["Tm", "Tm", "Mg", "Mg", "Mg", "Mg", "Mg", "Mg", "Li", "Li"],
  "frac_coords": [[0.9213, 0.7500, 0.8427], [0.0787, 0.2500, 0.1573], [0.3180, 0.7500, 0.6360], [0.5251, 0.7500, 0.0502], [0.3726, 0.2500, 0.7452], [0.6274, 0.7500, 0.2548], [0.4749, 0.2500, 0.9498], [0.6820, 0.2500, 0.3640], [0.2179, 0.7500, 0.4358], [0.7821, 0.2500, 0.5642]],
  "sg": "Cmcm, No. 63",
  "crystal_system": "orthorhombic",
  "energy_ev_per_atom": -2.253,
  "formation_enthalpy_0k_ev_per_atom": -0.020
}

=====

{
  "formula": "VB3W",
  "functional": "GGA-PBE",
  "state": "optimized geometry",
  "lattice": [[-3.0262, -2.6551, 0.7741], [2.5328, -3.1215, -0.8049], [1.1107, -0.1159, 3.9445]],
  "species": ["B", "B", "B", "V", "W"],
  "frac_coords": [[0.0000, 0.5000, 0.0000], [0.5000, 0.0000, 0.0000], [0.0000, 0.0000, 0.5000], [0.5000, 0.5000, 0.5000], [0.0000, 0.0000, 0.0000]],
  "sg": "Pm-3m, No. 221",
  "crystal_system": "cubic",
  "energy_ev_per_atom": -7.200,
  "formation_enthalpy_0k_ev_per_atom": 1.221
}

=====

{
  "formula": "Cd2CoAg",
  "functional": "GGA-PBE",
  "state": "optimized geometry",
  "lattice": [[9.4747, 0.0172, 0.0101], [9.0095, 2.9323, 0.0101], [9.0095, 1.4377, 2.5557]],
  "species": ["Cd", "Cd", "Co", "Ag"],
  "frac_coords": [[0.5058, 0.5058, 0.5058], [0.9942, 0.9942, 0.9942], [0.2500, 0.2500, 0.2500], [0.7500, 0.7500, 0.7500]],
  "sg": "R-3m, No. 166",
  "crystal_system": "trigonal",
  "energy_ev_per_atom": -2.742,
  "formation_enthalpy_0k_ev_per_atom": 0.205
}

=====

{
  "formula": "Pm2Zn5AgRh2",
  "functional": "GGA-PBE",
  "state": "optimized geometry",
  "lattice": [[3.9412, 0.0000, 0.0000], [0.0000, 9.7397, 0.0000], [0.0000, 0.0000, 9.7397]],
  "species": ["Rh", "Rh", "Rh", "Rh", "Zn", "Zn", "Zn", "Zn", "Zn", "Zn", "Zn", "Zn", "Zn", "Zn", "Ag", "Ag", "Pm", "Pm", "Pm", "Pm"],
  "frac_coords": [[0.0000, 0.3804, 0.1196], [0.0000, 0.6196, 0.8804], [0.0000, 0.1196, 0.6196], [0.0000, 0.8804, 0.3804], [0.5000, 0.2973, 0.5556], [0.5000, 0.5556, 0.7027], [0.5000, 0.0000, 0.5000], [0.5000, 0.7027, 0.4444], [0.5000, 0.9444, 0.2027], [0.5000, 0.7973, 0.9444], [0.5000, 0.5000, 0.0000], [0.5000, 0.2027, 0.0556], [0.5000, 0.4444, 0.2973], [0.5000, 0.0556, 0.7973], [0.0000, 0.5000, 0.5000], [0.0000, 0.0000, 0.0000], [0.0000, 0.6806, 0.1806], [0.0000, 0.8194, 0.6806], [0.0000, 0.3194, 0.8194], [0.0000, 0.1806, 0.3194]],
  "sg": "P4/mbm, No. 127",
  "crystal_system": "tetragonal",
  "energy_ev_per_atom": -3.709,
  "formation_enthalpy_0k_ev_per_atom": -0.366
}

=====

{
  "formula": "Pm2DyIn",
  "functional": "GGA-PBE",
  "state": "optimized geometry",
  "lattice": [[5.5398, 0.0000, 0.0000], [2.7699, 4.7976, 0.0000], [2.7699, 1.5992, 4.5232]],
  "species": ["Dy", "Pm", "Pm", "In"],
  "frac_coords": [[0.0000, 0.0000, 0.0000], [0.7500, 0.7500, 0.7500], [0.2500, 0.2500, 0.2500], [0.5000, 0.5000, 0.5000]],
  "sg": "Fm-3m, No. 225",
  "crystal_system": "cubic",
  "energy_ev_per_atom": -4.358,
  "formation_enthalpy_0k_ev_per_atom": -0.148
}

=====

{
  "formula": "YFe8Co2",
  "functional": "GGA-PBE",
  "state": "optimized geometry",
  "lattice": [[-3.3519, -2.4495, 2.4506], [3.6259, -2.2715, -2.2211], [4.1900, 2.9269, 6.3699]],
  "species": ["Fe", "Fe", "Fe", "Fe", "Fe", "Fe", "Fe", "Fe", "Y", "Co", "Co"],
  "frac_coords": [[0.0812, 0.0812, 0.6625], [0.5813, 0.5813, 0.6625], [0.9188, 0.9188, 0.3375], [0.3307, 0.8727, 0.2034], [0.8727, 0.3307, 0.2034], [0.6693, 0.1273, 0.7966], [0.1273, 0.6693, 0.7966], [0.4187, 0.4187, 0.3375], [0.5000, 0.5000, 0.0000], [0.7500, 0.2500, 0.5000], [0.2500, 0.7500, 0.5000]],
  "sg": "Fmmm, No. 69",
  "crystal_system": "orthorhombic",
  "energy_ev_per_atom": -7.743,
  "formation_enthalpy_0k_ev_per_atom": 0.291
}